Crystalline Rb2Ba2Zn at its relaxed geometry, computed with PBE.

Summary:
For the formation energy, the calculation gives 0.145 eV/atom. As for the total magnetic moment: 0.000 μB per atom.

Lattice parameters (Å, degrees): 8.9794 8.9794 7.9505 90.00 90.00 90.00
With the nearest neighbours (Å) after each atom.
Space group P4/mbm (No. 127)
Inequivalent atoms, fractional coordinates:
Rb  0.1762  0.3238  0.0000 x4  2 Ba 4.41, 5 Rb 4.47-4.68
Ba  0.1738  0.6738  0.5000 x4  2 Zn 3.32
Zn  0.0000  0.0000  0.5000 x2  4 Ba 3.32